Below is crystalline Rb2SiTeRu at its relaxed geometry, with properties calculated at the PBE level.

Output
- formation energy without anion corrections (meV/atom) = 793
- electronic total energy (Ry/atom) = -0.23241
- space group = P4/mmm

Lattice parameters (Å, degrees): 6.956 4.976 6.956 90.00 90.00 90.00
Last column: magnetic moment on the atom in μB.
Fractional positions:
Ru  0.000  0.500  0.000  -1.37
Si  0.500  0.500  0.500  0.61
Te  0.000  0.000  0.000  0.01
Rb  0.000  0.000  0.500  0.01
Rb  0.500  0.000  0.000  0.01